First-principles (PBE-GGA) data for a relaxed structure of La2MgCo, as listed in Alexandria.

## Properties
space group: I-42d

Cell lengths 6.6621, 6.6621, 6.6621 Å; angles 103.32, 103.32, 122.63 degrees
Closest atoms and distances in Å follow each position.
Positions (direct):
La  0.0499  0.1250  0.4249  2 Co 2.65
La  0.3750  0.9501  0.0751  2 Co 2.65
La  0.7001  0.6250  0.5751  2 Co 2.65
La  0.8750  0.2999  0.9249  2 Co 2.65
Mg  0.2500  0.7500  0.5000  2 Co 3.20, 8 La 3.48
Mg  0.5000  0.5000  0.0000  2 Co 3.20, 8 La 3.48
Co  0.0000  0.0000  0.0000  4 La 2.65
Co  0.7500  0.2500  0.5000  4 La 2.65

---

First-principles (PBE-GGA) data for a relaxed structure of La8MgCo2, as listed in Alexandria.

## Properties
energy relative to the lowest polymorph listed for this composition: 0.000 eV/atom
space group: C2/m

Cell lengths 7.6703, 7.6703, 6.5814 Å; angles 92.79, 92.79, 64.28 degrees
Closest atoms and distances in Å follow each position.
Positions (direct):
La  0.0611  0.6212  0.3147  2 Co 2.73-2.74
La  0.1013  0.1013  0.1991  1 Co 3.04
La  0.3788  0.9389  0.6853  2 Co 2.73-2.74
La  0.3807  0.3807  0.9302  1 Co 2.97, 1 La 3.18, 1 Mg 3.30
La  0.6193  0.6193  0.0698  1 Co 2.97, 1 La 3.18, 1 Mg 3.30
La  0.6212  0.0611  0.3147  2 Co 2.73-2.74
La  0.8987  0.8987  0.8009  1 Co 3.04
La  0.9389  0.3788  0.6853  2 Co 2.73-2.74
Mg  0.5000  0.5000  0.5000  2 Co 2.81
Co  0.2841  0.2841  0.5093  6 La 2.73-3.04, 1 Mg 2.81
Co  0.7159  0.7159  0.4907  6 La 2.73-3.04, 1 Mg 2.81

---

First-principles (PBE-GGA) data for a relaxed structure of La2MgCo, as listed in Alexandria.

## Properties
space group: R3m

Cell lengths 8.9899, 8.9899, 8.9899 Å; angles 25.67, 25.67, 25.67 degrees
Closest atoms and distances in Å follow each position.
Positions (direct):
La  0.0000  0.0000  0.0000  3 Co 2.78
La  0.2157  0.2157  0.2157  3 Co 2.76
Mg  0.4412  0.4412  0.4412  6 La 3.64, 6 Mg 3.99
Co  0.6073  0.6073  0.6073  6 La 2.76-2.78

---

First-principles (PBE-GGA) data for a relaxed structure of LaMg3Co, as listed in Alexandria.

## Properties
energy relative to the lowest polymorph listed for this composition: 1.801 eV/atom
space group: Pm-3m

Cell lengths 6.1132, 6.1132, 6.1132 Å; angles 90.00, 90.00, 90.00 degrees
Closest atoms and distances in Å follow each position.
Positions (direct):
La  0.0000  0.0000  0.0000  6 Mg 3.06
Mg  0.0000  0.0000  0.5000  2 La 3.06
Mg  0.0000  0.5000  0.0000  2 La 3.06
Mg  0.5000  0.0000  0.0000  2 La 3.06
Co  0.5000  0.5000  0.5000  12 Mg 4.32

---

First-principles (PBE-GGA) data for a relaxed structure of La2MgCo, as listed in Alexandria.

## Properties
space group: C2/m

Cell lengths 3.9424, 3.9424, 9.1050 Å; angles 102.68, 102.68, 60.20 degrees
Closest atoms and distances in Å follow each position.
Positions (direct):
La  0.2246  0.2246  0.1780  3 Co 2.76-2.77
La  0.7754  0.7754  0.8220  3 Co 2.76-2.77
Mg  0.0000  0.0000  0.5000  6 La 3.64, 6 Mg 3.94-3.95
Co  0.5000  0.5000  0.0000  6 La 2.76-2.77

---

First-principles (PBE-GGA) data for a relaxed structure of La2MgCo, as listed in Alexandria.

## Properties
space group: Amm2

Cell lengths 3.6028, 6.4334, 6.4334 Å; angles 46.18, 90.00, 90.00 degrees
Closest atoms and distances in Å follow each position.
Positions (direct):
La  0.0000  0.0000  0.0000  4 Co 3.11, 2 Mg 3.37
La  0.5000  0.3187  0.3187  1 Co 2.33
Mg  0.0000  0.6892  0.6892  2 Co 2.73
Co  0.5000  0.5155  0.5155  1 La 2.33

---

First-principles (PBE-GGA) data for a relaxed structure of La12MgCo6, as listed in Alexandria.

## Properties
space group: Im-3

Cell lengths 8.8250, 8.8250, 8.8250 Å; angles 109.47, 109.47, 109.47 degrees
Closest atoms and distances in Å follow each position.
Positions (direct):
La  0.1211  0.3136  0.8076  3 Co 2.71-2.98
La  0.1924  0.5060  0.3136  3 Co 2.71-2.98
La  0.1924  0.8789  0.6864  3 Co 2.71-2.98
La  0.3136  0.1924  0.5060  3 Co 2.71-2.98
La  0.3136  0.8076  0.1211  3 Co 2.71-2.98
La  0.4940  0.6864  0.8076  3 Co 2.71-2.98
La  0.5060  0.3136  0.1924  3 Co 2.71-2.98
La  0.6864  0.1924  0.8789  3 Co 2.71-2.98
La  0.6864  0.8076  0.4940  3 Co 2.71-2.98
La  0.8076  0.1211  0.3136  3 Co 2.71-2.98
La  0.8076  0.4940  0.6864  3 Co 2.71-2.98
La  0.8789  0.6864  0.1924  3 Co 2.71-2.98
Mg  0.0000  0.0000  0.0000  12 La 3.75
Co  0.1174  0.5000  0.6174  1 Co 2.39
Co  0.3826  0.8826  0.5000  1 Co 2.39
Co  0.5000  0.3826  0.8826  1 Co 2.39
Co  0.5000  0.6174  0.1174  1 Co 2.39
Co  0.6174  0.1174  0.5000  1 Co 2.39
Co  0.8826  0.5000  0.3826  1 Co 2.39

---

First-principles (PBE-GGA) data for a relaxed structure of LaMgCo, as listed in Alexandria.

## Properties
space group: P-6m2

Cell lengths 4.4756, 4.4756, 3.9503 Å; angles 90.00, 90.00, 120.00 degrees
Closest atoms and distances in Å follow each position.
Positions (direct):
La  0.0000  0.0000  0.0000  6 Co 3.25, 6 Mg 3.25
Mg  0.6667  0.3333  0.5000  3 Co 2.58
Co  0.3333  0.6667  0.5000  3 Mg 2.58

---

no.,DFT formation energy (eV/atom),V (Å³/cell)
1,0.12,218.5
2,-0.03,348.3
3,-0.03,120.0
4,1.73,228.5
5,-0.04,118.8
6,0.00,107.6
7,-0.13,529.1
8,0.13,68.5